(1)
Below is VFeC2 after structural relaxation, with properties calculated at the PBE level.

a b c (Å): 3.5647 3.7248 3.7248
angles (deg): 73.09 67.04 67.27
Last column: nearest neighbours and their distance in Å.
Sites, in units of the cell vectors:
C 0.4940 0.7772 0.5984  1 C 1.43
C 0.4937 0.4549 0.9210  1 C 1.43
Fe 0.4048 0.9473 0.0913  4 C 1.92-1.98, 1 V 2.12
V 0.7502 0.2331 0.3756  4 C 2.05-2.14, 1 Fe 2.12

Values from the calculation:
The formation energy comes out at 90 kJ/mol of formula units. Its calculated volume is 10.357 Å³ per atom. For the density of states at the Fermi level, the calculation gives 2.15 states/eV/cell. The calculation puts the calculated density at 5.2 g/cm3. As for the uncorrected energy: -35.1 eV/cell.

(2)
Below is LaTl2Ag2 after structural relaxation, with properties calculated at the PBE level.

a b c (Å): 7.4771 7.4771 8.7920
angles (deg): 102.44 102.44 138.35
Last column: nearest neighbours and their distance in Å.
Sites, in units of the cell vectors:
Ag 0.8001 0.1784 0.4890  2 Tl 2.91-3.01, 2 Ag 3.16, 1 La 3.21
Ag 0.1999 0.8216 0.5110  2 Tl 2.91-3.01, 2 Ag 3.16, 1 La 3.21
Ag 0.3216 0.6999 0.0110  2 Tl 2.91-3.01, 2 Ag 3.16, 1 La 3.21
Ag 0.6784 0.3001 0.9890  2 Tl 2.91-3.01, 2 Ag 3.16, 1 La 3.21
Tl 0.6096 0.8904 0.7500  2 Ag 2.91, 2 Tl 3.16
Tl 0.3904 0.1096 0.2500  2 Ag 2.91, 2 Tl 3.16
Tl 0.2322 0.2678 0.7500  4 Ag 3.01-3.34, 2 Tl 3.16, 2 La 3.30
Tl 0.7678 0.7322 0.2500  4 Ag 3.01-3.34, 2 Tl 3.16, 2 La 3.30
La 0.8721 0.6279 0.7500  6 Ag 3.21-3.28, 4 Tl 3.30-3.51
La 0.1279 0.3721 0.2500  6 Ag 3.21-3.28, 4 Tl 3.30-3.51

Values from the calculation:
The formation energy comes out at -70 kJ/mol of formula units. Its calculated volume is 25.993 Å³ per atom. The energy above the lowest structure with this stoichiometry comes out at 0.0 meV per atom. For the density of states at the Fermi level, the calculation gives 3.19 states/eV/cell. The calculation puts the calculated density at 9.8 g/cm3. As for the uncorrected energy: -32.2 eV/cell.

(3)
Below is LiZrOs2 after structural relaxation, with properties calculated at the PBE level.

a b c (Å): 3.2105 3.2105 5.9951
angles (deg): 90.00 90.00 90.00
Last column: nearest neighbours and their distance in Å.
Sites, in units of the cell vectors:
Os 0.5000 0.5000 0.2330  1 Li 2.70, 4 Os 2.74, 4 Zr 2.80
Os 0.0000 0.0000 0.9775  4 Li 2.55, 4 Os 2.74, 1 Zr 2.82
Zr 0.0000 0.0000 0.5070  5 Os 2.80-2.82, 4 Li 2.81
Li 0.5000 0.5000 0.7824  5 Os 2.55-2.70, 4 Zr 2.81

Values from the calculation:
The formation energy comes out at 108 kJ/mol of formula units. Its calculated volume is 15.448 Å³ per atom. For the density of states at the Fermi level, the calculation gives 3.09 states/eV/cell. The calculation puts the calculated density at 12.9 g/cm3. As for the uncorrected energy: -31.8 eV/cell.